Record 1
The following is a GGA-PBE calculation of a relaxed structure of CaSm3Zn4, from Alexandria.

abc: 5.142 7.332 10.284
angles: 90.00 90.00 90.00
Fractional positions:
Ca: 0.000 0.500 0.000
Ca: 0.000 0.500 0.500
Zn: 0.500 0.752 0.000
Zn: 0.500 0.752 0.500
Zn: 0.500 0.248 0.000
Zn: 0.500 0.248 0.500
Zn: 0.999 0.752 0.750
Zn: 0.001 0.752 0.250
Zn: 0.001 0.248 0.250
Zn: 0.999 0.248 0.750
Sm: 0.000 0.000 0.000
Sm: 0.000 0.000 0.500
Sm: 0.500 0.000 0.750
Sm: 0.500 0.000 0.250
Sm: 0.499 0.500 0.750
Sm: 0.501 0.500 0.250

Computed properties:
- Symmetry: P4/mmm, No. 123
- Calculated volume: 193.87 Å³/f.u.
- Crystal system: tetragonal

Record 2
The following is a GGA-PBE calculation of a relaxed structure of TlCrRe3, from Alexandria.

abc: 4.524 4.524 4.524
angles: 90.00 90.00 90.00
Last column: magnetic moment on the atom in μB.
Fractional positions:
Re: 0.000 0.500 0.000  0.52
Re: 0.000 0.000 0.500  0.37
Re: 0.500 0.000 0.000  0.59
Tl: 0.500 0.500 0.500  -0.02
Cr: 0.000 0.000 0.000  -0.18

Computed properties:
- Symmetry: Pm-3m, No. 221
- Calculated volume: 92.59 Å³/f.u.
- Crystal system: cubic
- Distance to the lowest polymorph of the same formula: 0 meV per atom

Record 3
The following is a GGA-PBE calculation of a relaxed structure of CaIr, from Alexandria.

abc: 5.978 5.978 5.731
angles: 90.00 90.00 90.00
Last column: magnetic moment on the atom in μB.
Fractional positions:
Ca: 0.695 0.305 0.000  0.00
Ca: 0.195 0.195 0.500  0.00
Ca: 0.805 0.805 0.500  0.00
Ca: 0.305 0.695 0.000  0.00
Ir: 0.855 0.855 0.000  0.91
Ir: 0.355 0.645 0.500  0.91
Ir: 0.645 0.355 0.500  0.91
Ir: 0.145 0.145 0.000  0.91

Computed properties:
- Symmetry: P4_2/mnm, No. 136
- Calculated volume: 51.21 Å³/f.u.
- Crystal system: tetragonal

no.,magnetization (μB per cell),energy relative to the elements (meV per atom)
1,0.0,-303
2,1.5,1663
3,4.2,359